1.
An optimized crystal structure of Li12Dy3Tl5. Source: the Alexandria database, functional PBE.

Its density of states at the Fermi level is 18.1 states/eV/f.u. The formation energy comes out at 40 kJ per mole of atoms. The magnetization is 0.00 μB/f.u. The energy is -323.2 eV/cell.

The space group is Ia-3d (No. 230) and the conventional cell measures 16.504, 16.504 and 16.504 Å, with angles of 90.00, 90.00 and 90.00 degrees. The asymmetric unit holds Li at (0.022, 0.068, 0.644), Dy at (0.000, 0.250, 0.125), Tl at (0.000, 0.000, 0.000) and Tl at (0.000, 0.250, 0.375).



2.
An optimized crystal structure of LiDy3Tl2. Source: the Alexandria database, functional PBE.

Its density of states at the Fermi level is 2.6 states/eV/f.u. The formation energy comes out at -21 kJ per mole of atoms. The magnetization is 0.00 μB/f.u. The relative energy among the computed polymorphs is 0.0335 eV/atom. The energy is -87.0 eV/cell.

The space group is Ibam (No. 72) and the conventional cell measures 6.452, 15.991 and 6.423 Å, with angles of 90.00, 90.00 and 90.00 degrees. The asymmetric unit holds Li at (0.000, 0.000, 0.250), Dy at (0.000, 0.500, 0.250), Dy at (0.230, 0.178, 0.000) and Tl at (0.243, 0.130, 0.500).



3.
An optimized crystal structure of Li5DyTl4. Source: the Alexandria database, functional PBE.

Its density of states at the Fermi level is 4.9 states/eV/f.u. The formation energy comes out at -22 kJ per mole of atoms. The magnetization is 0.00 μB/f.u. The energy is -51.9 eV/cell.

The space group is C2/m (No. 12) and the conventional cell measures 14.438, 4.826 and 6.495 Å, with angles of 90.00, 104.78 and 90.00 degrees. The asymmetric unit holds Li at (0.000, 0.000, 0.000), Li at (0.104, 0.500, 0.864), Li at (0.217, 0.000, 0.335), Dy at (0.000, 0.000, 0.500), Tl at (0.098, 0.500, 0.316) and Tl at (0.202, 0.000, 0.832).



4.
An optimized crystal structure of Li2DyTl3. Source: the Alexandria database, functional PBE.

Its density of states at the Fermi level is 2.8 states/eV/f.u. The formation energy comes out at -20 kJ per mole of atoms. The magnetization is 0.00 μB/f.u. The relative energy among the computed polymorphs is 0.0651 eV/atom. The energy is -33.6 eV/cell.

The space group is P6_3/mmc (No. 194) and the conventional cell measures 4.9575, 4.9575 and 13.4482 Å, with angles of 90.00, 90.00 and 120.00 degrees. The asymmetric unit holds Li at (0.3333, 0.6667, 0.0983), Dy at (0.0000, 0.0000, 0.2500), Tl at (0.0000, 0.0000, 0.0000) and Tl at (0.3333, 0.6667, 0.6338).



5.
An optimized crystal structure of Li3Dy2Tl4. Source: the Alexandria database, functional PBE.

Its density of states at the Fermi level is 3.7 states/eV/f.u. The formation energy comes out at -25 kJ per mole of atoms. The magnetization is 0.00 μB/f.u. The relative energy among the computed polymorphs is 0.0000 eV/atom. The energy is -53.4 eV/cell.

The space group is C2/m (No. 12) and the conventional cell measures 9.266, 4.955 and 9.413 Å, with angles of 90.00, 101.78 and 90.00 degrees. The asymmetric unit holds Li at (0.000, 0.000, 0.000), Li at (0.119, 0.500, 0.586), Dy at (0.210, 0.500, 0.240), Tl at (0.073, 0.000, 0.372) and Tl at (0.141, 0.500, 0.895).



6.
An optimized crystal structure of LiDyTl. Source: the Alexandria database, functional PBE.

Its density of states at the Fermi level is 2.6 states/eV/f.u. The formation energy comes out at -26 kJ per mole of atoms. The magnetization is 0.00 μB/f.u. The relative energy among the computed polymorphs is 0.0000 eV/atom. The energy is -38.8 eV/cell.

The space group is Pnma (No. 62) and the conventional cell measures 7.596, 4.720 and 7.938 Å, with angles of 90.00, 90.00 and 90.00 degrees. The asymmetric unit holds Li at (0.162, 0.250, 0.071), Dy at (0.001, 0.250, 0.693) and Tl at (0.213, 0.750, 0.897).



7.
An optimized crystal structure of LiDy2Tl3. Source: the Alexandria database, functional PBE.

Its density of states at the Fermi level is 4.8 states/eV/f.u. The formation energy comes out at -17 kJ per mole of atoms. The magnetization is 0.15 μB/f.u. The relative energy among the computed polymorphs is 0.1369 eV/atom. The energy is -77.2 eV/cell.

The space group is Cmcm (No. 63) and the conventional cell measures 3.445, 28.394 and 6.612 Å, with angles of 90.00, 90.00 and 90.00 degrees. The asymmetric unit holds Li at (0.000, 0.160, 0.250), Dy at (0.000, 0.339, 0.250), Dy at (0.000, 0.495, 0.750), Tl at (0.000, 0.081, 0.507) and Tl at (0.000, 0.259, 0.750).



8.
An optimized crystal structure of Li4DyTl2. Source: the Alexandria database, functional PBE.

Its density of states at the Fermi level is 4.0 states/eV/f.u. The formation energy comes out at -9 kJ per mole of atoms. The magnetization is 0.00 μB/f.u. The energy is -35.2 eV/cell.

The space group is I4/mmm (No. 139) and the conventional cell measures 3.810, 3.810 and 20.101 Å, with angles of 90.00, 90.00 and 90.00 degrees. The asymmetric unit holds Li at (0.000, 0.000, 0.151), Li at (0.000, 0.500, 0.250), Dy at (0.000, 0.000, 0.000) and Tl at (0.000, 0.000, 0.393).